Run i
# GGA-PBE BaBiH2, relaxed
data_BaBiH2
_cell_length_a 6.879
_cell_length_b 6.879
_cell_length_c 6.879
_cell_angle_alpha 90.00
_cell_angle_beta 90.00
_cell_angle_gamma 90.00
_symmetry_space_group_name_H-M 'F m -3 m'
_symmetry_Int_Tables_number 225
_symmetry_space_group_name_Hall '-F 4 2 3'
loop_
_atom_site_label
_atom_site_type_symbol
_atom_site_fract_x
_atom_site_fract_y
_atom_site_fract_z
Ba1 Ba 0.000 0.000 0.000
Bi1 Bi 0.000 0.000 0.500
H1 H 0.250 0.250 0.250
# Fermi-level density of states, states/eV per atom: 0.57
# ρ, g cm⁻³: 7.11



Run ii
# GGA-PBE BaBiH2, relaxed
data_BaBiH2
_cell_length_a 5.105
_cell_length_b 5.105
_cell_length_c 14.158
_cell_angle_alpha 90.00
_cell_angle_beta 90.00
_cell_angle_gamma 90.00
_symmetry_space_group_name_H-M 'I -4 2 d'
_symmetry_Int_Tables_number 122
_symmetry_space_group_name_Hall 'I -4 2bw'
loop_
_atom_site_label
_atom_site_type_symbol
_atom_site_fract_x
_atom_site_fract_y
_atom_site_fract_z
Ba1 Ba 0.000 0.000 0.000
Bi1 Bi 0.000 0.000 0.500
H1 H 0.184 0.250 0.625
# Fermi-level density of states, states/eV per atom: 0.44
# ρ, g cm⁻³: 6.27



Run iii
# GGA-PBE BaBiH2, relaxed
data_BaBiH2
_cell_length_a 4.571
_cell_length_b 6.193
_cell_length_c 7.619
_cell_angle_alpha 110.54
_cell_angle_beta 106.64
_cell_angle_gamma 93.08
_symmetry_space_group_name_H-M 'P -1'
_symmetry_Int_Tables_number 2
loop_
_symmetry_equiv_pos_as_xyz
'x,y,z'
'-x,-y,-z'
loop_
_atom_site_label
_atom_site_type_symbol
_atom_site_fract_x
_atom_site_fract_y
_atom_site_fract_z
Ba1 Ba 0.146 0.281 0.276
Bi1 Bi 0.391 0.262 0.821
H1 H 0.186 0.780 0.124
H2 H 0.274 0.686 0.559
# Fermi-level density of states, states/eV per atom: 0.02
# ρ, g cm⁻³: 6.07



The structure with the greatest stability is run iii.



Run i
# GGA-PBE BaNa2BiH, relaxed
data_BaNa2BiH
_cell_length_a 5.074
_cell_length_b 5.074
_cell_length_c 5.468
_cell_angle_alpha 90.00
_cell_angle_beta 90.00
_cell_angle_gamma 90.00
_symmetry_space_group_name_H-M 'P 4/m m m'
_symmetry_Int_Tables_number 123
_symmetry_space_group_name_Hall '-P 4 2'
loop_
_atom_site_label
_atom_site_type_symbol
_atom_site_fract_x
_atom_site_fract_y
_atom_site_fract_z
Ba1 Ba 0.000 0.000 0.000
Na1 Na 0.000 0.500 0.500
Bi1 Bi 0.500 0.500 0.000
H1 H 0.000 0.000 0.500
# Fermi-level density of states, states/eV per atom: 0.09
# ρ, g cm⁻³: 4.64



Run ii
# GGA-PBE BaNa2BiH, relaxed
data_BaNa2BiH
_cell_length_a 4.977
_cell_length_b 12.846
_cell_length_c 9.315
_cell_angle_alpha 90.00
_cell_angle_beta 90.00
_cell_angle_gamma 90.00
_symmetry_space_group_name_H-M 'C m c m'
_symmetry_Int_Tables_number 63
_symmetry_space_group_name_Hall '-C 2c 2'
loop_
_atom_site_label
_atom_site_type_symbol
_atom_site_fract_x
_atom_site_fract_y
_atom_site_fract_z
Ba1 Ba 0.000 0.060 0.250
Na1 Na 0.000 0.337 0.060
Bi1 Bi 0.000 0.227 0.750
H1 H 0.000 0.500 0.000
# ρ, g cm⁻³: 4.39



The structure with the greatest stability is run i.



Run i
# GGA-PBE Ba2BiSbH, relaxed
data_Ba2BiSbH
_cell_length_a 5.655
_cell_length_b 5.655
_cell_length_c 4.908
_cell_angle_alpha 90.00
_cell_angle_beta 90.00
_cell_angle_gamma 90.00
_symmetry_space_group_name_H-M 'P 4/m m m'
_symmetry_Int_Tables_number 123
_symmetry_space_group_name_Hall '-P 4 2'
loop_
_atom_site_label
_atom_site_type_symbol
_atom_site_fract_x
_atom_site_fract_y
_atom_site_fract_z
Ba1 Ba 0.000 0.500 0.000
Bi1 Bi 0.000 0.000 0.500
Sb1 Sb 0.500 0.500 0.500
H1 H 0.000 0.000 0.000
# Fermi-level density of states, states/eV per atom: 0.58
# ρ, g cm⁻³: 6.42



Run ii
# GGA-PBE Ba2BiSbH, relaxed
data_Ba2BiSbH
_cell_length_a 6.159
_cell_length_b 6.159
_cell_length_c 4.259
_cell_angle_alpha 90.00
_cell_angle_beta 90.00
_cell_angle_gamma 90.00
_symmetry_space_group_name_H-M 'P 4/m m m'
_symmetry_Int_Tables_number 123
_symmetry_space_group_name_Hall '-P 4 2'
loop_
_atom_site_label
_atom_site_type_symbol
_atom_site_fract_x
_atom_site_fract_y
_atom_site_fract_z
Ba1 Ba 0.000 0.500 0.000
Bi1 Bi 0.000 0.000 0.500
Sb1 Sb 0.500 0.500 0.500
H1 H 0.500 0.500 0.000
# Fermi-level density of states, states/eV per atom: 0.90
# ρ, g cm⁻³: 6.23



The structure with the greatest stability is run ii.



Run i
# GGA-PBE BaZnBiH2, relaxed
data_BaZnBiH2
_cell_length_a 4.580
_cell_length_b 4.580
_cell_length_c 5.766
_cell_angle_alpha 90.00
_cell_angle_beta 90.00
_cell_angle_gamma 90.00
_symmetry_space_group_name_H-M 'P 4/m m m'
_symmetry_Int_Tables_number 123
_symmetry_space_group_name_Hall '-P 4 2'
loop_
_atom_site_label
_atom_site_type_symbol
_atom_site_fract_x
_atom_site_fract_y
_atom_site_fract_z
Ba1 Ba 0.000 0.000 0.000
Zn1 Zn 0.500 0.500 0.000
Bi1 Bi 0.500 0.500 0.500
H1 H 0.000 0.500 0.500
# Fermi-level density of states, states/eV per atom: 0.48
# ρ, g cm⁻³: 5.68



Run ii
# GGA-PBE BaZnBiH2, relaxed
data_BaZnBiH2
_cell_length_a 4.864
_cell_length_b 12.022
_cell_length_c 6.897
_cell_angle_alpha 90.00
_cell_angle_beta 90.00
_cell_angle_gamma 90.00
_symmetry_space_group_name_H-M 'C m c m'
_symmetry_Int_Tables_number 63
_symmetry_space_group_name_Hall '-C 2c 2'
loop_
_atom_site_label
_atom_site_type_symbol
_atom_site_fract_x
_atom_site_fract_y
_atom_site_fract_z
Ba1 Ba 0.000 0.222 0.250
Zn1 Zn 0.000 0.500 0.000
Bi1 Bi 0.000 0.059 0.750
H1 H 0.000 0.362 0.558
# Fermi-level density of states, states/eV per atom: 0.21
# ρ, g cm⁻³: 6.81



The structure with the greatest stability is run ii.



Run i
# GGA-PBE BaHfBi3, relaxed
data_BaHfBi3
_cell_length_a 6.075
_cell_length_b 6.075
_cell_length_c 6.075
_cell_angle_alpha 90.00
_cell_angle_beta 90.00
_cell_angle_gamma 90.00
_symmetry_space_group_name_H-M 'P m -3 m'
_symmetry_Int_Tables_number 221
_symmetry_space_group_name_Hall '-P 4 2 3'
loop_
_atom_site_label
_atom_site_type_symbol
_atom_site_fract_x
_atom_site_fract_y
_atom_site_fract_z
Ba1 Ba 0.000 0.000 0.000
Hf1 Hf 0.500 0.500 0.500
Bi1 Bi 0.000 0.000 0.500
# Fermi-level density of states, states/eV per atom: 1.46
# ρ, g cm⁻³: 6.98



Run ii
# GGA-PBE BaHfBi3, relaxed
data_BaHfBi3
_cell_length_a 5.726
_cell_length_b 5.726
_cell_length_c 5.726
_cell_angle_alpha 90.00
_cell_angle_beta 90.00
_cell_angle_gamma 90.00
_symmetry_space_group_name_H-M 'P m -3 m'
_symmetry_Int_Tables_number 221
_symmetry_space_group_name_Hall '-P 4 2 3'
loop_
_atom_site_label
_atom_site_type_symbol
_atom_site_fract_x
_atom_site_fract_y
_atom_site_fract_z
Ba1 Ba 0.000 0.000 0.000
Hf1 Hf 0.500 0.500 0.500
Bi1 Bi 0.000 0.500 0.500
# Fermi-level density of states, states/eV per atom: 0.69
# ρ, g cm⁻³: 8.34



Run iii
# GGA-PBE BaHfBi3, relaxed
data_BaHfBi3
_cell_length_a 15.345
_cell_length_b 6.668
_cell_length_c 6.749
_cell_angle_alpha 90.00
_cell_angle_beta 90.00
_cell_angle_gamma 90.00
_symmetry_space_group_name_H-M 'P b c m'
_symmetry_Int_Tables_number 57
loop_
_symmetry_equiv_pos_as_xyz
'x,y,z'
'-x,-y,-z'
'-x,-y,z+1/2'
'x,y,-z+1/2'
'x,-y+1/2,-z'
'-x,y+1/2,z'
'-x,y+1/2,-z+1/2'
'x,-y+1/2,z+1/2'
loop_
_atom_site_label
_atom_site_type_symbol
_atom_site_fract_x
_atom_site_fract_y
_atom_site_fract_z
Ba1 Ba 0.189 0.015 0.250
Hf1 Hf 0.416 0.750 0.000
Bi1 Bi 0.005 0.750 0.000
Bi2 Bi 0.292 0.514 0.250
Bi3 Bi 0.430 0.121 0.250
# Fermi-level density of states, states/eV per atom: 0.68
# ρ, g cm⁻³: 9.07



The structure with the greatest stability is run iii.



Run i
# GGA-PBE BaHfBi2, relaxed
data_BaHfBi2
_cell_length_a 8.421
_cell_length_b 8.421
_cell_length_c 9.004
_cell_angle_alpha 90.00
_cell_angle_beta 90.00
_cell_angle_gamma 90.00
_symmetry_space_group_name_H-M 'I -4 2 d'
_symmetry_Int_Tables_number 122
_symmetry_space_group_name_Hall 'I -4 2bw'
loop_
_atom_site_label
_atom_site_type_symbol
_atom_site_fract_x
_atom_site_fract_y
_atom_site_fract_z
Ba1 Ba 0.000 0.000 0.000
Hf1 Hf 0.000 0.000 0.500
Bi1 Bi 0.189 0.250 0.625
# Fermi-level density of states, states/eV per atom: 0.05
# ρ, g cm⁻³: 7.63



Run ii
# GGA-PBE BaHfBi2, relaxed
data_BaHfBi2
_cell_length_a 4.4706
_cell_length_b 4.4706
_cell_length_c 24.0529
_cell_angle_alpha 90.00
_cell_angle_beta 90.00
_cell_angle_gamma 120.00
_symmetry_space_group_name_H-M 'R -3 m'
_symmetry_Int_Tables_number 166
_symmetry_space_group_name_Hall '-R 3 2"'
loop_
_atom_site_label
_atom_site_type_symbol
_atom_site_fract_x
_atom_site_fract_y
_atom_site_fract_z
Ba1 Ba 0.0000 0.0000 0.0000
Hf1 Hf 0.0000 0.0000 0.5000
Bi1 Bi 0.0000 0.0000 0.2337
# Fermi-level density of states, states/eV per atom: 0.25
# ρ, g cm⁻³: 8.78



The structure with the greatest stability is run ii.



Run i
# GGA-PBE BaHfBi2, relaxed
data_BaHfBi2
_cell_length_a 4.0574
_cell_length_b 4.0574
_cell_length_c 32.3826
_cell_angle_alpha 90.00
_cell_angle_beta 90.00
_cell_angle_gamma 120.00
_symmetry_space_group_name_H-M 'R -3 m'
_symmetry_Int_Tables_number 166
_symmetry_space_group_name_Hall '-R 3 2"'
loop_
_atom_site_label
_atom_site_type_symbol
_atom_site_fract_x
_atom_site_fract_y
_atom_site_fract_z
Ba1 Ba 0.0000 0.0000 0.0000
Hf1 Hf 0.0000 0.0000 0.5000
Bi1 Bi 0.0000 0.0000 0.1077
# Fermi-level density of states, states/eV per atom: 0.60
# ρ, g cm⁻³: 7.92



Run ii
# GGA-PBE BaHfBi2, relaxed
data_BaHfBi2
_cell_length_a 7.932
_cell_length_b 7.932
_cell_length_c 7.932
_cell_angle_alpha 90.00
_cell_angle_beta 90.00
_cell_angle_gamma 90.00
_symmetry_space_group_name_H-M 'F m -3 m'
_symmetry_Int_Tables_number 225
_symmetry_space_group_name_Hall '-F 4 2 3'
loop_
_atom_site_label
_atom_site_type_symbol
_atom_site_fract_x
_atom_site_fract_y
_atom_site_fract_z
Ba1 Ba 0.000 0.000 0.000
Hf1 Hf 0.000 0.000 0.500
Bi1 Bi 0.250 0.250 0.250
# Fermi-level density of states, states/eV per atom: 1.09
# ρ, g cm⁻³: 9.77



The structure with the greatest stability is run ii.



Run i
# GGA-PBE BaHfBiN2, relaxed
data_BaHfBiN2
_cell_length_a 4.437
_cell_length_b 4.437
_cell_length_c 6.587
_cell_angle_alpha 90.00
_cell_angle_beta 90.00
_cell_angle_gamma 90.00
_symmetry_space_group_name_H-M 'P 4/m m m'
_symmetry_Int_Tables_number 123
_symmetry_space_group_name_Hall '-P 4 2'
loop_
_atom_site_label
_atom_site_type_symbol
_atom_site_fract_x
_atom_site_fract_y
_atom_site_fract_z
Ba1 Ba 0.000 0.000 0.000
Hf1 Hf 0.000 0.000 0.500
Bi1 Bi 0.500 0.500 0.000
N1 N 0.000 0.500 0.500
# Fermi-level density of states, states/eV per atom: 0.93
# ρ, g cm⁻³: 7.08



Run ii
# GGA-PBE BaHfBiN2, relaxed
data_BaHfBiN2
_cell_length_a 4.758
_cell_length_b 4.758
_cell_length_c 5.473
_cell_angle_alpha 90.00
_cell_angle_beta 90.00
_cell_angle_gamma 90.00
_symmetry_space_group_name_H-M 'P 4/m m m'
_symmetry_Int_Tables_number 123
_symmetry_space_group_name_Hall '-P 4 2'
loop_
_atom_site_label
_atom_site_type_symbol
_atom_site_fract_x
_atom_site_fract_y
_atom_site_fract_z
Ba1 Ba 0.000 0.000 0.000
Hf1 Hf 0.500 0.500 0.000
Bi1 Bi 0.500 0.500 0.500
N1 N 0.000 0.500 0.500
# Fermi-level density of states, states/eV per atom: 1.11
# ρ, g cm⁻³: 7.41



The structure with the greatest stability is run i.